# Ta2Os3 (SCAN, PBEsol geometry)
# Final energy = -69.991 eV/atom
# Calculated volume = 15.5 Å³/atom
# Energy relative to the elements = -230 meV/atom
# ρ = 20.01 Mg/m³
# Symmetry = Fdd2 (43)
# Energy relative to the lowest polymorph listed for this composition = 0 meV per atom
data_Ta2Os3
_symmetry_space_group_name_H-M 'P 1'
_symmetry_Int_Tables_number 1
_symmetry_space_group_name_Hall 'P 1'
_cell_length_a 4.958
_cell_length_b 5.343
_cell_length_c 7.047
_cell_angle_alpha 99.39
_cell_angle_beta 110.60
_cell_angle_gamma 62.36
loop_
_atom_site_label
_atom_site_type_symbol
_atom_site_fract_x
_atom_site_fract_y
_atom_site_fract_z
_atom_site_occupancy
Os1 Os 0.747 0.886 0.194 1
Os2 Os 0.439 0.114 0.806 1
Os3 Os 0.803 0.386 0.306 1
Os4 Os 0.883 0.614 0.694 1
Os5 Os 0.059 0.000 0.000 1
Os6 Os 0.309 0.500 0.500 1
Ta1 Ta 0.218 0.424 0.105 1
Ta2 Ta 0.537 0.576 0.895 1
Ta3 Ta 0.363 0.924 0.395 1
Ta4 Ta 0.892 0.076 0.605 1